# Hg7Cl2O3 | Alexandria via LeMat-Bulk | PBEsol | optimized geometry
data_Hg7Cl2O3
_chemical_formula_sum 'Hg28 Cl8 O12'
_cell_length_a 6.494
_cell_length_b 11.848
_cell_length_c 13.879
_cell_angle_alpha 90.00
_cell_angle_beta 90.00
_cell_angle_gamma 90.00
_space_group_name_H-M_alt 'P b c m'
_space_group_IT_number 57
loop_
_space_group_symop_operation_xyz
'x,y,z'
'-x,-y,-z'
'-x,-y,z+1/2'
'x,y,-z+1/2'
'x,-y+1/2,-z'
'-x,y+1/2,z'
'-x,y+1/2,-z+1/2'
'x,-y+1/2,z+1/2'
loop_
_atom_site_label
_atom_site_fract_x
_atom_site_fract_y
_atom_site_fract_z
_atom_site_occupancy
Hg1 0.000 0.000 0.000 1
Hg2 0.136 0.043 0.250 1
Hg3 0.172 0.240 0.750 1
Hg4 0.317 0.709 0.630 1
Hg5 0.470 0.117 0.082 1
Cl1 0.073 0.250 0.000 1
Cl2 0.338 0.050 0.750 1
O1 0.133 0.634 0.750 1
O2 0.288 0.530 0.552 1
# - DFT total energy: -27.6 eV per formula unit
# - Total magnetization: 0.000 μB/atom